# 1
DFT (meta-GGA SCAN) results for a crystal of Sc5Zn4 relaxed with PBEsol.

Cell lengths 5.887, 8.185, 8.185 Å; angles 120.00, 90.00, 90.00 degrees
Element x y z (fractional)
Sc  0.750  0.000  0.704
Sc  0.750  0.704  0.000
Sc  0.750  0.296  0.296
Sc  0.250  0.000  0.296
Sc  0.250  0.296  0.000
Sc  0.250  0.704  0.704
Sc  0.000  0.333  0.667
Sc  0.500  0.667  0.333
Sc  0.000  0.667  0.333
Sc  0.500  0.333  0.667
Zn  0.000  0.000  0.000
Zn  0.500  0.000  0.000
Zn  0.750  0.000  0.368
Zn  0.750  0.368  0.000
Zn  0.750  0.632  0.632
Zn  0.250  0.000  0.632
Zn  0.250  0.632  0.000
Zn  0.250  0.368  0.368

Summary:
Symmetry: P6_3/mcm (193)
Uncorrected energy: -256.5 eV for the cell shown
E_form: -336 meV/atom
Magnetization: 0.00 μB/cell

# 2
DFT (meta-GGA SCAN) results for a crystal of TlIn2Cu relaxed with PBEsol.

Cell lengths 4.202, 4.379, 5.430 Å; angles 90.00, 110.83, 90.00 degrees
Element x y z (fractional)
Cu  0.000  0.500  0.500
In  0.838  0.000  0.711
In  0.162  0.000  0.289
Tl  0.500  0.500  0.000

Summary:
Symmetry: P2/m (10)
Uncorrected energy: -153.7 eV for the cell shown
E_form: 169 meV/atom
Magnetization: 0.00 μB/cell

# 3
DFT (meta-GGA SCAN) results for a crystal of BeRu relaxed with PBEsol.

Cell lengths 4.134, 4.134, 6.544 Å; angles 90.00, 90.00, 120.00 degrees
Element x y z (fractional)
Be  0.667  0.333  0.909
Be  0.333  0.667  0.409
Be  0.333  0.667  0.091
Be  0.667  0.333  0.591
Ru  0.000  0.000  0.750
Ru  0.000  0.000  0.250
Ru  0.667  0.333  0.250
Ru  0.333  0.667  0.750

Summary:
Symmetry: P6_3/mmc (194)
Uncorrected energy: -155.0 eV for the cell shown
E_form: 220 meV/atom
Magnetization: 0.00 μB/cell

Q: Which value of magnetization does entry 3 give?
A: 0.00 μB/cell

Q: Look up the magnetization of the third one.
A: 0.00 μB/cell